[1]
Here is crystalline Mg3As at its relaxed geometry from Alexandria via LeMat-Bulk. Energies are from PBE-GGA.

Cell: 3.906 3.974 6.328 Å, 64.07 90.00 90.00°
Fractional coordinates of all 4 atoms:
As 0.000 0.000 0.000
Mg 0.500 0.828 0.766
Mg 0.000 0.500 0.500
Mg 0.500 0.172 0.234

**Density**: 2779 kg/m3
**Volume**: 88 Å³ per cell
**D(E_F)**: 1.5 states/eV per cell
**Space group**: No. 10
**DFT formation energy**: -0.16 eV/atom

[2]
Here is crystalline DyY2In at its relaxed geometry from Alexandria via LeMat-Bulk. Energies are from PBE-GGA.

Cell: 4.838 4.865 4.865 Å, 90.00 90.00 90.00°
Fractional coordinates of all 4 atoms:
Y 0.000 0.000 0.500
Y 0.000 0.500 0.000
In 0.500 0.000 0.000
Dy 0.500 0.500 0.500

**Density**: 6600 kg/m3
**Volume**: 115 Å³ per cell
**D(E_F)**: 5.4 states/eV per cell
**Relative energy among the computed polymorphs**: 0 meV per atom
**Space group**: No. 123
**DFT formation energy**: -0.27 eV/atom

[3]
Here is crystalline Ga2HgBS6 at its relaxed geometry from Alexandria via LeMat-Bulk. Energies are from PBE-GGA.

Cell: 6.624 8.998 8.998 Å, 94.55 70.93 70.93°
Fractional coordinates of all 20 atoms:
Ga 0.376 0.784 0.612
Ga 0.124 0.388 0.216
Ga 0.624 0.216 0.388
Ga 0.876 0.612 0.784
Hg 0.250 0.777 0.223
Hg 0.750 0.223 0.777
B 0.250 0.181 0.819
B 0.750 0.819 0.181
S 0.142 0.006 0.810
S 0.358 0.190 0.994
S 0.858 0.994 0.190
S 0.642 0.810 0.006
S 0.464 0.871 0.367
S 0.036 0.633 0.129
S 0.536 0.129 0.633
S 0.964 0.367 0.871
S 0.106 0.684 0.576
S 0.394 0.424 0.316
S 0.894 0.316 0.424
S 0.606 0.576 0.684

**Density**: 3850 kg/m3
**Volume**: 469 Å³ per cell
**D(E_F)**: 0.7 states/eV per cell
**E_form (uncorrected)**: -0.273 eV/atom
**Space group**: No. 15

[4]
Here is crystalline Rb2SrCoP at its relaxed geometry from Alexandria via LeMat-Bulk. Energies are from PBE-GGA.

Cell: 6.796 4.254 6.796 Å, 90.00 90.00 90.00°
Fractional coordinates of all 5 atoms:
Sr 0.500 0.500 0.500
Co 0.000 0.000 0.000
Rb 0.000 0.000 0.500
Rb 0.500 0.000 0.000
P 0.000 0.500 0.000

**Density**: 2945 kg/m3
**Volume**: 196 Å³ per cell
**D(E_F)**: 5.9 states/eV per cell
**Space group**: No. 123
**DFT formation energy**: 0.28 eV/atom

[5]
Here is crystalline Tm2Cu2Au at its relaxed geometry from Alexandria via LeMat-Bulk. Energies are from PBE-GGA.

Cell: 3.403 6.824 10.265 Å, 119.90 99.54 90.00°
Fractional coordinates of all 10 atoms:
Tm 0.172 0.008 0.344
Tm 0.172 0.508 0.344
Tm 0.828 0.992 0.656
Tm 0.828 0.492 0.656
Cu 0.424 0.387 0.849
Cu 0.576 0.113 0.151
Cu 0.576 0.613 0.151
Cu 0.424 0.887 0.849
Au 0.000 0.750 0.000
Au 0.000 0.250 0.000

**Density**: 10835 kg/m3
**Volume**: 203 Å³ per cell
**D(E_F)**: 7.2 states/eV per cell
**Space group**: No. 139
**DFT formation energy**: -0.18 eV/atom

[6]
Here is crystalline CaNbCu at its relaxed geometry from Alexandria via LeMat-Bulk. Energies are from PBE-GGA.

Cell: 7.600 3.043 10.431 Å, 90.00 90.00 90.00°
Fractional coordinates of all 12 atoms:
Nb 0.434 0.250 0.398
Nb 0.066 0.750 0.898
Nb 0.566 0.750 0.602
Nb 0.934 0.250 0.102
Ca 0.843 0.250 0.398
Ca 0.657 0.750 0.898
Ca 0.157 0.750 0.602
Ca 0.343 0.250 0.102
Cu 0.847 0.250 0.701
Cu 0.653 0.750 0.201
Cu 0.153 0.750 0.299
Cu 0.347 0.250 0.799

**Density**: 5410 kg/m3
**Volume**: 241 Å³ per cell
**D(E_F)**: 7.3 states/eV per cell
**Relative energy among the computed polymorphs**: 136 meV per atom
**Space group**: No. 62
**DFT formation energy**: 0.29 eV/atom

[7]
Here is crystalline MgTePb2 at its relaxed geometry from Alexandria via LeMat-Bulk. Energies are from PBE-GGA.

Cell: 5.480 5.480 5.480 Å, 60.00 60.00 60.00°
Fractional coordinates of all 4 atoms:
Mg 0.500 0.500 0.500
Pb 0.000 0.000 0.000
Pb 0.250 0.250 0.250
Te 0.750 0.750 0.750

**Density**: 8080 kg/m3
**Volume**: 116 Å³ per cell
**D(E_F)**: 1.5 states/eV per cell
**Relative energy among the computed polymorphs**: 167 meV per atom
**E_form (uncorrected)**: -0.030 eV/atom
**Space group**: No. 216

[8]
Here is crystalline GdTmPdRu at its relaxed geometry from Alexandria via LeMat-Bulk. Energies are from PBE-GGA.

Cell: 4.868 4.868 4.868 Å, 60.00 60.00 60.00°
Fractional coordinates of all 4 atoms:
Gd 0.000 0.000 0.000
Ru 0.750 0.750 0.750
Tm 0.500 0.500 0.500
Pd 0.250 0.250 0.250

**Density**: 10865 kg/m3
**Volume**: 82 Å³ per cell
**D(E_F)**: 2.1 states/eV per cell
**Space group**: No. 216
**DFT formation energy**: -0.64 eV/atom

Q: Which formula does entry 6 have?
A: CaNbCu